*a*
BeZn2Sb2 | the Alexandria database | GGA-PBE | optimized geometry; space-group type = P4/mbm (127)
1.0
-1.046 7.124 0.945
-4.988 -1.407 5.087
2.901 0.047 2.858
Zn Sb Be
4 4 2
Cartesian
-3.578 3.223 6.481 Zn
0.445 2.541 2.409 Zn
-1.783 0.020 4.711 Zn
-1.351 5.744 4.179 Zn
-4.339 1.044 4.387 Sb
-1.696 4.673 1.645 Sb
-1.728 0.955 1.738 Sb
-4.307 4.762 4.293 Sb
0.000 0.000 0.000 Be
-3.017 2.858 3.016 Be

***

*b*
BeZn2Sb2 | the Alexandria database | GGA-PBE | optimized geometry; space-group type = P4/mbm (127)
1.0
6.823 0.000 0.000
0.000 6.823 0.000
0.000 0.000 4.252
Sb Zn Be
4 4 2
Cartesian
1.271 4.683 2.126 Sb
2.140 1.271 2.126 Sb
4.683 5.552 2.126 Sb
5.552 2.140 2.126 Sb
4.322 0.910 0.000 Zn
5.913 4.322 0.000 Zn
2.501 5.913 0.000 Zn
0.910 2.501 0.000 Zn
0.000 0.000 0.000 Be
3.411 3.411 0.000 Be

***

Which structure wins on stability? *a* wins.